Compound: Cs2TbMnF6
Source: the Alexandria database
Functional: PBE with a Hubbard U
Structure: relaxed

Summary:
Electronic total energy: -5.473 eV/atom
D(E_F): 0.81 states/eV/f.u.
Theoretical density: 4.66 g/cm³

Structure (CIF):
```
data_Cs2TbMnF6
_chemical_formula_sum 'Cs2 Tb1 Mn1 F6'
_symmetry_space_group_name_H-M 'P 1'
_symmetry_Int_Tables_number 1
_cell_length_a 6.689
_cell_length_b 6.690
_cell_length_c 6.694
_cell_angle_alpha 59.98
_cell_angle_beta 59.98
_cell_angle_gamma 89.99
loop_
_symmetry_equiv_pos_as_xyz
'x,y,z'
loop_
_atom_site_label
_atom_site_type_symbol
_atom_site_fract_x
_atom_site_fract_y
_atom_site_fract_z
Cs1 Cs 0.750 0.250 0.500
Cs2 Cs 0.250 0.750 0.500
F1 F 0.766 0.234 0.000
F2 F 0.234 0.234 0.532
F3 F 0.766 0.766 0.000
F4 F 0.766 0.766 0.468
F5 F 0.234 0.234 0.000
F6 F 0.234 0.766 0.000
Tb1 Tb 0.000 0.000 0.000
Mn1 Mn 0.500 0.500 0.000
```